Here is crystalline NiC2Se at its relaxed geometry from the Alexandria database. Energies are from GGA-PBE.

Structure (CIF):
```
data_NiC2Se
_symmetry_space_group_name_H-M 'I -4 2 d'
_symmetry_Int_Tables_number 122
_symmetry_space_group_name_Hall 'I -4 2bw'
_cell_length_a 4.6172
_cell_length_b 4.6172
_cell_length_c 8.9379
_cell_angle_alpha 90.00
_cell_angle_beta 90.00
_cell_angle_gamma 90.00
loop_
_atom_site_label
_atom_site_type_symbol
_atom_site_fract_x
_atom_site_fract_y
_atom_site_fract_z
Ni1 Ni 0.0000 0.0000 0.0000
C1 C 0.2263 0.2500 0.1250
Se1 Se 0.0000 0.0000 0.5000
```

Computed properties:
Total moment = 0.0 μB per formula unit
Formation energy from raw total energies = 1.278 eV/atom
Crystal system = tetragonal